Model a:
# Er2Tm7Th2 PBE optimized geometry
data_Er2Tm7Th2
_chemical_formula_sum 'Er2 Tm7 Th2'
_symmetry_space_group_name_H-M 'P 1'
_symmetry_Int_Tables_number 1
_cell_length_a 8.496
_cell_length_b 5.932
_cell_length_c 8.496
_cell_angle_alpha 64.36
_cell_angle_beta 95.72
_cell_angle_gamma 115.64
loop_
_symmetry_equiv_pos_as_xyz
'x,y,z'
loop_
_atom_site_label
_atom_site_type_symbol
_atom_site_fract_x
_atom_site_fract_y
_atom_site_fract_z
_atom_site_occupancy
Er1 Er 0.237 0.889 0.763 1
Er2 Er 0.763 0.111 0.237 1
Tm1 Tm 0.407 0.180 0.060 1
Tm2 Tm 0.060 0.820 0.407 1
Tm3 Tm 0.593 0.820 0.940 1
Tm4 Tm 0.940 0.180 0.593 1
Tm5 Tm 0.593 0.378 0.407 1
Tm6 Tm 0.000 0.000 0.000 1
Tm7 Tm 0.407 0.622 0.593 1
Th1 Th 0.789 0.500 0.789 1
Th2 Th 0.211 0.500 0.211 1
# Spin magnetization   0.00 μB/f.u.



Model b:
# Er2Tm7Th2 PBE optimized geometry
data_Er2Tm7Th2
_chemical_formula_sum 'Er2 Tm7 Th2'
_symmetry_space_group_name_H-M 'P 1'
_symmetry_Int_Tables_number 1
_cell_length_a 6.052
_cell_length_b 7.883
_cell_length_c 7.883
_cell_angle_alpha 91.63
_cell_angle_beta 73.78
_cell_angle_gamma 73.78
loop_
_symmetry_equiv_pos_as_xyz
'x,y,z'
loop_
_atom_site_label
_atom_site_type_symbol
_atom_site_fract_x
_atom_site_fract_y
_atom_site_fract_z
_atom_site_occupancy
Er1 Er 0.500 0.214 0.786 1
Er2 Er 0.500 0.786 0.214 1
Tm1 Tm 0.174 0.065 0.588 1
Tm2 Tm 0.826 0.412 0.935 1
Tm3 Tm 0.826 0.935 0.412 1
Tm4 Tm 0.174 0.588 0.065 1
Tm5 Tm 0.000 0.000 0.000 1
Tm6 Tm 0.578 0.763 0.763 1
Tm7 Tm 0.422 0.237 0.237 1
Th1 Th 0.808 0.414 0.414 1
Th2 Th 0.192 0.586 0.586 1
# Spin magnetization   0.00 μB/f.u.



Winner for stability: model b



Model a:
# ErTm7Th2 PBE optimized geometry
data_ErTm7Th2
_chemical_formula_sum 'Er1 Tm7 Th2'
_symmetry_space_group_name_H-M 'P 1'
_symmetry_Int_Tables_number 1
_cell_length_a 3.583
_cell_length_b 10.196
_cell_length_c 10.196
_cell_angle_alpha 107.81
_cell_angle_beta 79.84
_cell_angle_gamma 79.85
loop_
_symmetry_equiv_pos_as_xyz
'x,y,z'
loop_
_atom_site_label
_atom_site_type_symbol
_atom_site_fract_x
_atom_site_fract_y
_atom_site_fract_z
_atom_site_occupancy
Er1 Er 0.000 0.000 0.000 1
Tm1 Tm 0.000 0.662 0.338 1
Tm2 Tm 0.000 0.338 0.662 1
Tm3 Tm 0.749 0.097 0.405 1
Tm4 Tm 0.251 0.903 0.595 1
Tm5 Tm 0.749 0.404 0.097 1
Tm6 Tm 0.251 0.596 0.903 1
Tm7 Tm 0.500 0.500 0.500 1
Th1 Th 0.500 0.824 0.176 1
Th2 Th 0.500 0.176 0.824 1
# Spin magnetization   0.00 μB/f.u.



Model b:
# ErTm7Th2 PBE optimized geometry
data_ErTm7Th2
_chemical_formula_sum 'Er1 Tm7 Th2'
_symmetry_space_group_name_H-M 'P 1'
_symmetry_Int_Tables_number 1
_cell_length_a 5.400
_cell_length_b 9.372
_cell_length_c 9.372
_cell_angle_alpha 125.40
_cell_angle_beta 90.00
_cell_angle_gamma 90.00
loop_
_symmetry_equiv_pos_as_xyz
'x,y,z'
loop_
_atom_site_label
_atom_site_type_symbol
_atom_site_fract_x
_atom_site_fract_y
_atom_site_fract_z
_atom_site_occupancy
Er1 Er 0.000 0.000 0.000 1
Tm1 Tm 0.000 0.799 0.201 1
Tm2 Tm 0.000 0.201 0.799 1
Tm3 Tm 0.500 0.067 0.284 1
Tm4 Tm 0.500 0.933 0.716 1
Tm5 Tm 0.500 0.284 0.067 1
Tm6 Tm 0.500 0.716 0.933 1
Tm7 Tm 0.500 0.500 0.500 1
Th1 Th 0.500 0.705 0.295 1
Th2 Th 0.500 0.295 0.705 1
# Spin magnetization   0.00 μB/f.u.



Winner for stability: model a



Model a:
# ErTmTh3 PBE optimized geometry
data_ErTmTh3
_chemical_formula_sum 'Er4 Tm4 Th12'
_symmetry_space_group_name_H-M 'P 1'
_symmetry_Int_Tables_number 1
_cell_length_a 9.140
_cell_length_b 9.167
_cell_length_c 7.864
_cell_angle_alpha 90.00
_cell_angle_beta 90.00
_cell_angle_gamma 90.00
loop_
_symmetry_equiv_pos_as_xyz
'x,y,z'
loop_
_atom_site_label
_atom_site_type_symbol
_atom_site_fract_x
_atom_site_fract_y
_atom_site_fract_z
_atom_site_occupancy
Er1 Er 0.000 0.500 0.000 1
Er2 Er 0.500 0.000 0.500 1
Er3 Er 0.500 0.000 0.000 1
Er4 Er 0.000 0.500 0.500 1
Tm1 Tm 0.334 0.655 0.750 1
Tm2 Tm 0.166 0.155 0.250 1
Tm3 Tm 0.666 0.345 0.250 1
Tm4 Tm 0.834 0.845 0.750 1
Th1 Th 0.865 0.135 0.006 1
Th2 Th 0.635 0.635 0.506 1
Th3 Th 0.635 0.635 0.994 1
Th4 Th 0.135 0.865 0.506 1
Th5 Th 0.135 0.865 0.994 1
Th6 Th 0.365 0.365 0.494 1
Th7 Th 0.365 0.365 0.006 1
Th8 Th 0.865 0.135 0.494 1
Th9 Th 0.657 0.335 0.750 1
Th10 Th 0.843 0.835 0.250 1
Th11 Th 0.343 0.665 0.250 1
Th12 Th 0.157 0.165 0.750 1
# Spin magnetization   0.00 μB/f.u.



Model b:
# ErTmTh3 PBE optimized geometry
data_ErTmTh3
_chemical_formula_sum 'Er2 Tm2 Th6'
_symmetry_space_group_name_H-M 'P 1'
_symmetry_Int_Tables_number 1
_cell_length_a 3.444
_cell_length_b 11.609
_cell_length_c 11.661
_cell_angle_alpha 43.18
_cell_angle_beta 90.00
_cell_angle_gamma 90.00
loop_
_symmetry_equiv_pos_as_xyz
'x,y,z'
loop_
_atom_site_label
_atom_site_type_symbol
_atom_site_fract_x
_atom_site_fract_y
_atom_site_fract_z
_atom_site_occupancy
Er1 Er 0.750 0.308 0.141 1
Er2 Er 0.250 0.692 0.859 1
Tm1 Tm 0.250 0.699 0.359 1
Tm2 Tm 0.750 0.301 0.641 1
Th1 Th 0.250 0.125 0.519 1
Th2 Th 0.250 0.464 0.773 1
Th3 Th 0.250 0.914 0.944 1
Th4 Th 0.750 0.875 0.481 1
Th5 Th 0.750 0.086 0.056 1
Th6 Th 0.750 0.536 0.227 1
# Spin magnetization   0.00 μB/f.u.



Winner for stability: model b



Model a:
# Er8Tm2Th3 PBE optimized geometry
data_Er8Tm2Th3
_chemical_formula_sum 'Er8 Tm2 Th3'
_symmetry_space_group_name_H-M 'P 1'
_symmetry_Int_Tables_number 1
_cell_length_a 3.554
_cell_length_b 8.802
_cell_length_c 14.703
_cell_angle_alpha 107.42
_cell_angle_beta 75.95
_cell_angle_gamma 90.00
loop_
_symmetry_equiv_pos_as_xyz
'x,y,z'
loop_
_atom_site_label
_atom_site_type_symbol
_atom_site_fract_x
_atom_site_fract_y
_atom_site_fract_z
_atom_site_occupancy
Er1 Er 0.693 0.403 0.807 1
Er2 Er 0.307 0.597 0.193 1
Er3 Er 0.943 0.778 0.557 1
Er4 Er 0.057 0.222 0.443 1
Er5 Er 0.624 0.878 0.377 1
Er6 Er 0.624 0.498 0.377 1
Er7 Er 0.376 0.502 0.623 1
Er8 Er 0.376 0.122 0.623 1
Tm1 Tm 0.787 0.106 0.211 1
Tm2 Tm 0.213 0.894 0.789 1
Th1 Th 0.500 0.000 0.000 1
Th2 Th 0.000 0.314 0.000 1
Th3 Th 0.000 0.686 0.000 1
# Spin magnetization   0.00 μB/f.u.



Model b:
# Er8Tm2Th3 PBE optimized geometry
data_Er8Tm2Th3
_chemical_formula_sum 'Er8 Tm2 Th3'
_symmetry_space_group_name_H-M 'P 1'
_symmetry_Int_Tables_number 1
_cell_length_a 6.406
_cell_length_b 6.652
_cell_length_c 9.865
_cell_angle_alpha 91.76
_cell_angle_beta 102.97
_cell_angle_gamma 83.89
loop_
_symmetry_equiv_pos_as_xyz
'x,y,z'
loop_
_atom_site_label
_atom_site_type_symbol
_atom_site_fract_x
_atom_site_fract_y
_atom_site_fract_z
_atom_site_occupancy
Er1 Er 0.063 0.364 0.731 1
Er2 Er 0.937 0.636 0.269 1
Er3 Er 0.196 0.848 0.616 1
Er4 Er 0.804 0.152 0.384 1
Er5 Er 0.291 0.958 0.284 1
Er6 Er 0.438 0.479 0.172 1
Er7 Er 0.562 0.521 0.828 1
Er8 Er 0.709 0.042 0.716 1
Tm1 Tm 0.674 0.658 0.508 1
Tm2 Tm 0.326 0.342 0.492 1
Th1 Th 0.500 0.000 0.000 1
Th2 Th 0.972 0.249 0.040 1
Th3 Th 0.028 0.751 0.960 1
# Spin magnetization   0.00 μB/f.u.



Winner for stability: model b



Model a:
# Er3Tm2Th2 PBE optimized geometry
data_Er3Tm2Th2
_chemical_formula_sum 'Er3 Tm2 Th2'
_symmetry_space_group_name_H-M 'P 1'
_symmetry_Int_Tables_number 1
_cell_length_a 3.424
_cell_length_b 8.505
_cell_length_c 8.857
_cell_angle_alpha 119.15
_cell_angle_beta 101.15
_cell_angle_gamma 90.00
loop_
_symmetry_equiv_pos_as_xyz
'x,y,z'
loop_
_atom_site_label
_atom_site_type_symbol
_atom_site_fract_x
_atom_site_fract_y
_atom_site_fract_z
_atom_site_occupancy
Er1 Er 0.000 0.500 0.000 1
Er2 Er 0.215 0.800 0.431 1
Er3 Er 0.785 0.200 0.569 1
Tm1 Tm 0.564 0.905 0.127 1
Tm2 Tm 0.436 0.095 0.873 1
Th1 Th 0.850 0.659 0.701 1
Th2 Th 0.150 0.341 0.299 1
# Spin magnetization   0.00 μB/f.u.



Model b:
# Er3Tm2Th2 PBE optimized geometry
data_Er3Tm2Th2
_chemical_formula_sum 'Er3 Tm2 Th2'
_symmetry_space_group_name_H-M 'P 1'
_symmetry_Int_Tables_number 1
_cell_length_a 3.544
_cell_length_b 9.346
_cell_length_c 7.838
_cell_angle_alpha 65.12
_cell_angle_beta 76.93
_cell_angle_gamma 100.86
loop_
_symmetry_equiv_pos_as_xyz
'x,y,z'
loop_
_atom_site_label
_atom_site_type_symbol
_atom_site_fract_x
_atom_site_fract_y
_atom_site_fract_z
_atom_site_occupancy
Er1 Er 0.000 0.000 0.000 1
Er2 Er 0.707 0.568 0.153 1
Er3 Er 0.293 0.432 0.847 1
Tm1 Tm 0.424 0.140 0.291 1
Tm2 Tm 0.576 0.860 0.709 1
Th1 Th 0.859 0.287 0.571 1
Th2 Th 0.141 0.713 0.429 1
# Spin magnetization   0.00 μB/f.u.



Winner for stability: model b